Entry w
Computed, not measured: a geometry-optimized NdTm2Ti structure at the PBE-GGA level of DFT.

Geometry as extended XYZ:
```
4
Lattice="-2.437 -0.533 -2.239 -3.145 -0.517 1.038 -3.925 11.199 -0.901" Properties=species:S:1:pos:R:3 pbc="T T T"
Ti 0.000 0.000 0.000
Tm -3.414 8.338 -0.777
Nd -4.754 5.075 -1.051
Tm -6.094 1.812 -1.325
```

Mass density   7.7 g/cm³
Volume   28.57 A^3/atom
Symmetry   R-3m

Entry x
Computed, not measured: a geometry-optimized NdTm2Ti structure at the PBE-GGA level of DFT.

Geometry as extended XYZ:
```
4
Lattice="3.368 0.000 0.000 0.000 3.368 0.000 0.000 0.000 9.771" Properties=species:S:1:pos:R:3 pbc="T T T"
Nd 1.684 1.684 4.885
Tm 0.000 0.000 2.058
Tm 0.000 0.000 7.713
Ti 1.684 1.684 0.000
```

Mass density   7.9 g/cm³
Volume   27.71 A^3/atom
Symmetry   P4/mmm

Relative energies, unit kJ/mol of atoms: entry w 27.4; entry x 0.0

Entry w
Computed, not measured: a geometry-optimized Nd2Tl3 structure at the PBE-GGA level of DFT.

Geometry as extended XYZ:
```
20
Lattice="9.434 0.000 0.000 -3.145 8.894 0.000 -3.145 -4.447 7.703" Properties=species:S:1:pos:R:3 pbc="T T T"
Nd 3.868 4.447 0.000
Nd 1.331 2.905 3.851
Tl 6.212 2.278 0.095
Nd -0.241 -0.341 0.590
Tl -1.650 1.167 5.872
Tl 1.650 5.504 5.682
Tl 3.067 1.002 5.777
Tl -1.650 -2.169 7.608
Tl 6.367 -1.002 1.926
Tl 3.222 1.057 2.021
Tl -1.495 4.392 3.946
Nd -0.849 4.447 0.000
Tl 1.495 5.449 1.926
Tl -4.639 3.445 5.777
Tl 0.078 -0.055 3.756
Tl 6.212 5.614 1.831
Nd -1.813 -2.564 4.442
Nd -1.813 4.106 7.112
Nd 2.904 -1.542 3.851
Nd 6.048 1.883 3.261
```

Mass density   9.3 g/cm³
Volume   32.31 A^3/atom
Symmetry   I-43d

Entry x
Computed, not measured: a geometry-optimized Nd2Tl3 structure at the PBE-GGA level of DFT.

Geometry as extended XYZ:
```
10
Lattice="-2.401 -1.855 -5.688 0.793 -6.144 -1.984 -8.136 -2.984 0.754" Properties=species:S:1:pos:R:3 pbc="T T T"
Nd -6.961 -4.249 -4.856
Tl -2.346 -3.453 -1.465
Tl -4.600 -5.281 -2.813
Nd -4.015 -7.687 -4.978
Tl -6.926 -3.607 -1.309
Nd -2.410 -4.021 -5.025
Tl -1.528 -1.181 -3.620
Tl -1.571 -6.413 -2.653
Tl -7.351 -7.494 -5.341
Nd -7.366 -6.987 -1.966
```

Mass density   10.2 g/cm³
Volume   29.43 A^3/atom
Symmetry   Fdd2

Relative energies, unit kJ/mol of atoms: entry w 17.0; entry x 0.0

Entry w
Computed, not measured: a geometry-optimized Nd3Tl5 structure at the PBE-GGA level of DFT.

Geometry as extended XYZ:
```
16
Lattice="4.189 -5.171 0.000 4.189 5.171 0.000 0.000 0.000 10.730" Properties=species:S:1:pos:R:3 pbc="T T T"
Nd 4.189 -3.060 0.000
Tl 5.817 0.000 5.808
Nd 4.189 3.060 5.365
Tl 2.561 0.000 0.444
Nd 4.189 -3.060 5.365
Nd 5.200 0.000 2.682
Tl 5.817 0.000 10.286
Tl 8.323 0.000 8.047
Tl 2.440 2.255 2.682
Tl 2.440 -2.255 2.682
Tl 0.054 0.000 2.682
Nd 4.189 3.060 0.000
Tl 5.937 2.255 8.047
Nd 3.178 0.000 8.047
Tl 5.937 -2.255 8.047
Tl 2.561 0.000 4.921
```

Mass density   10.4 g/cm³
Volume   29.05 A^3/atom
Symmetry   Cmcm

Entry x
Computed, not measured: a geometry-optimized Nd3Tl5 structure at the PBE-GGA level of DFT.

Geometry as extended XYZ:
```
8
Lattice="5.056 0.000 0.000 0.000 6.810 -0.196 0.000 -0.440 6.798" Properties=species:S:1:pos:R:3 pbc="T T T"
Tl 0.000 -0.220 3.399
Nd 2.528 1.155 5.259
Tl 0.000 3.405 -0.098
Nd 0.000 3.185 3.301
Tl 2.528 1.731 1.795
Nd 2.528 5.214 1.344
Tl 2.528 4.638 4.807
Tl 0.000 0.000 0.000
```

Mass density   10.3 g/cm³
Volume   29.20 A^3/atom
Symmetry   Cmmm

Relative energies, unit kJ/mol of atoms: entry w 0.0; entry x 3.8

Entry w
Computed, not measured: a geometry-optimized Nd3Tl4 structure at the PBE-GGA level of DFT.

Geometry as extended XYZ:
```
14
Lattice="-7.640 2.114 2.265 -0.205 -7.243 -3.933 4.772 -0.641 6.692" Properties=species:S:1:pos:R:3 pbc="T T T"
Tl -6.478 -1.857 -0.076
Nd 0.161 -2.612 0.481
Tl -1.502 -1.686 3.163
Tl -4.329 0.102 1.964
Nd -4.069 -3.182 1.750
Nd -1.493 -5.889 -2.039
Tl -2.658 -2.914 -1.209
Nd -0.753 -4.672 4.322
Tl -1.605 -5.308 1.196
Tl 1.596 -0.214 2.239
Nd -3.754 -0.361 5.181
Tl 1.775 -4.897 2.211
Nd 0.688 -0.593 5.377
Tl 3.982 -0.535 5.585
```

Mass density   9.6 g/cm³
Volume   30.81 A^3/atom
Symmetry   I-43d

Entry x
Computed, not measured: a geometry-optimized Nd3Tl4 structure at the PBE-GGA level of DFT.

Geometry as extended XYZ:
```
14
Lattice="-3.243 1.632 5.626 1.636 -8.543 0.765 7.182 4.967 0.042" Properties=species:S:1:pos:R:3 pbc="T T T"
Tl 5.038 0.620 3.774
Nd 0.810 -4.915 5.021
Tl 2.760 3.317 4.335
Nd 6.951 -0.723 1.089
Nd 3.958 -2.429 3.457
Nd 1.616 0.485 2.976
Nd -1.377 -1.221 5.345
Nd 4.764 2.971 1.413
Tl 1.898 -1.674 5.843
Tl -1.622 0.816 2.813
Tl 3.676 -0.270 0.591
Tl 0.537 -2.564 2.660
Tl 0.000 0.000 0.000
Tl 2.814 -5.261 2.099
```

Mass density   10.0 g/cm³
Volume   29.52 A^3/atom
Symmetry   R-3

Relative energies, unit kJ/mol of atoms: entry w 7.0; entry x 0.0

Entry w
Computed, not measured: a geometry-optimized Nd7Tl3 structure at the PBE-GGA level of DFT.

Geometry as extended XYZ:
```
20
Lattice="-5.408 -0.031 -3.314 5.721 -1.337 -9.324 -3.426 -8.805 5.674" Properties=species:S:1:pos:R:3 pbc="T T T"
Nd -4.472 -7.913 2.537
Tl -3.976 -7.942 -4.022
Nd -2.427 -7.875 -6.872
Nd -2.217 -4.881 -4.469
Tl 1.935 -2.798 -7.647
Nd -1.453 -8.943 0.392
Nd -2.291 -2.308 -1.075
Tl 0.503 -6.478 -5.275
Tl -4.935 -3.703 -2.497
Nd -0.246 -2.270 -10.484
Nd -3.888 -1.419 -4.548
Nd -0.795 -1.225 -6.825
Nd -0.030 -5.287 -1.964
Nd -3.552 -6.334 -1.271
Nd 2.201 -3.829 -4.613
Nd 0.158 -5.436 -8.340
Tl -0.457 -2.239 -3.750
Nd -2.405 -4.732 1.907
Nd -0.831 -8.764 -3.399
Tl -6.367 -7.383 -0.125
```

Mass density   8.1 g/cm³
Volume   33.36 A^3/atom
Symmetry   P6_3mc

Entry x
Computed, not measured: a geometry-optimized Nd7Tl3 structure at the PBE-GGA level of DFT.

Geometry as extended XYZ:
```
10
Lattice="-3.854 2.415 -2.772 0.888 -4.569 -5.216 -4.217 -4.011 7.487" Properties=species:S:1:pos:R:3 pbc="T T T"
Tl -1.768 -4.256 -1.250
Nd -2.879 -0.923 -1.919
Nd -4.304 -5.241 1.418
Nd 0.444 -2.285 -2.608
Tl 0.000 0.000 0.000
Tl -5.416 -1.909 0.750
Nd -2.330 -2.076 1.431
Nd -4.853 -4.089 -1.932
Nd -2.412 -3.305 -4.644
Nd -4.772 -2.860 4.143
```

Mass density   8.6 g/cm³
Volume   31.28 A^3/atom
Symmetry   C2/m

Relative energies, unit kJ/mol of atoms: entry w 3.6; entry x 0.0

Entry w
Computed, not measured: a geometry-optimized Nd5TmTl4 structure at the PBE-GGA level of DFT.

Geometry as extended XYZ:
```
20
Lattice="8.722 0.000 0.000 0.000 8.475 0.000 0.000 0.000 9.338" Properties=species:S:1:pos:R:3 pbc="T T T"
Nd 6.405 6.260 2.861
Tl 0.002 4.238 1.561
Tl 3.785 5.649 4.669
Tl 8.720 0.000 3.108
Tm 0.745 4.238 4.669
Nd 5.835 4.238 0.000
Tl 4.937 7.064 0.000
Nd 2.886 0.000 4.669
Nd 6.405 2.215 6.477
Nd 6.405 6.260 6.477
Nd 2.317 2.023 1.808
Tm 7.976 0.000 0.000
Nd 2.317 6.453 1.808
Tl 4.937 1.411 0.000
Tl 3.785 2.826 4.669
Tl 0.002 4.238 7.778
Nd 6.405 2.215 2.861
Nd 2.317 2.023 7.530
Nd 2.317 6.453 7.530
Tl 8.720 0.000 6.230
```

Mass density   8.2 g/cm³
Volume   34.51 A^3/atom
Symmetry   Pmmn

Entry x
Computed, not measured: a geometry-optimized Nd5TmTl4 structure at the PBE-GGA level of DFT.

Geometry as extended XYZ:
```
10
Lattice="3.710 0.000 0.000 0.000 3.710 0.000 0.000 0.000 22.234" Properties=species:S:1:pos:R:3 pbc="T T T"
Tl 0.000 0.000 4.616
Nd 1.855 1.855 19.763
Nd 1.855 1.855 6.780
Tl 0.000 0.000 13.287
Nd 1.855 1.855 11.117
Tm 0.000 0.000 0.000
Nd 1.855 1.855 2.471
Nd 1.855 1.855 15.454
Tl 0.000 0.000 17.617
Tl 0.000 0.000 8.947
```

Mass density   9.3 g/cm³
Volume   30.61 A^3/atom
Symmetry   P4/mmm

Relative energies, unit kJ/mol of atoms: entry w 25.4; entry x 0.0